# 1
Ta2CoSb | PBEsol | optimized geometry

CIF file:
```
data_Ta2CoSb
_chemical_formula_sum 'Ta2 Co1 Sb1'
_space_group_name_H-M_alt 'P m m m'
_space_group_IT_number 47
_space_group_name_Hall '-P 2 2'
_cell_length_a 3.582
_cell_length_b 4.179
_cell_length_c 4.335
_cell_angle_alpha 90.00
_cell_angle_beta 90.00
_cell_angle_gamma 90.00
loop_
_atom_site_label
_atom_site_fract_x
_atom_site_fract_y
_atom_site_fract_z
_atom_site_occupancy
Ta1 0.000 0.000 0.000 1
Ta2 0.500 0.500 0.000 1
Co1 0.000 0.500 0.500 1
Sb1 0.500 0.000 0.500 1
```

Calculated values
D(E_F) in states/eV/cell: 3.47
Formation energy from raw total energies in meV/atom: 10
Size of the total moment in μB per formula unit: 0.001
Mass density in kg/m3: 13883
Uncorrected energy in hartree per atom: -0.3432

---

# 2
TaCo2Sb | PBEsol | optimized geometry

CIF file:
```
data_TaCo2Sb
_chemical_formula_sum 'Ta3 Co6 Sb3'
_space_group_name_H-M_alt 'R -3 m'
_space_group_IT_number 166
_space_group_name_Hall '-R 3 2"'
_cell_length_a 3.1130
_cell_length_b 3.1130
_cell_length_c 22.0011
_cell_angle_alpha 90.00
_cell_angle_beta 90.00
_cell_angle_gamma 120.00
loop_
_atom_site_label
_atom_site_fract_x
_atom_site_fract_y
_atom_site_fract_z
_atom_site_occupancy
Ta1 0.0000 0.0000 0.0000 1
Co1 0.0000 0.0000 0.2556 1
Sb1 0.0000 0.0000 0.5000 1
```

Calculated values
D(E_F) in states/eV/cell: 8.16
Formation energy from raw total energies in meV/atom: 186
Size of the total moment in μB per formula unit: 0.001
Mass density in kg/m3: 11347
Uncorrected energy in hartree per atom: -0.2925

---

# 3
TaCoSb3 | PBEsol | optimized geometry

CIF file:
```
data_TaCoSb3
_chemical_formula_sum 'Ta1 Co1 Sb3'
_space_group_name_H-M_alt 'P m -3 m'
_space_group_IT_number 221
_space_group_name_Hall '-P 4 2 3'
_cell_length_a 4.802
_cell_length_b 4.802
_cell_length_c 4.802
_cell_angle_alpha 90.00
_cell_angle_beta 90.00
_cell_angle_gamma 90.00
loop_
_atom_site_label
_atom_site_fract_x
_atom_site_fract_y
_atom_site_fract_z
_atom_site_occupancy
Ta1 0.000 0.000 0.000 1
Co1 0.500 0.500 0.500 1
Sb1 0.000 0.500 0.500 1
```

Calculated values
D(E_F) in states/eV/cell: 6.33
Formation energy from raw total energies in meV/atom: 874
Size of the total moment in μB per formula unit: 0.803
Mass density in kg/m3: 9075
Uncorrected energy in hartree per atom: -0.2175

---

# 4
TaCoSb2Te | PBEsol | optimized geometry

CIF file:
```
data_TaCoSb2Te
_chemical_formula_sum 'Ta1 Co1 Sb2 Te1'
_space_group_name_H-M_alt 'P 4/m m m'
_space_group_IT_number 123
_space_group_name_Hall '-P 4 2'
_cell_length_a 5.286
_cell_length_b 5.286
_cell_length_c 5.238
_cell_angle_alpha 90.00
_cell_angle_beta 90.00
_cell_angle_gamma 90.00
loop_
_atom_site_label
_atom_site_fract_x
_atom_site_fract_y
_atom_site_fract_z
_atom_site_occupancy
Ta1 0.000 0.000 0.000 1
Co1 0.500 0.500 0.500 1
Sb1 0.000 0.500 0.000 1
Te1 0.000 0.000 0.500 1
```

Calculated values
D(E_F) in states/eV/cell: 9.75
Formation energy from raw total energies in meV/atom: 1126
Size of the total moment in μB per formula unit: 2.350
Mass density in kg/m3: 6932
Uncorrected energy in hartree per atom: -0.2007

---

# 5
Co2TcSb | PBEsol | optimized geometry

CIF file:
```
data_Co2TcSb
_chemical_formula_sum 'Co2 Tc1 Sb1'
_space_group_name_H-M_alt 'P 4/m m m'
_space_group_IT_number 123
_space_group_name_Hall '-P 4 2'
_cell_length_a 3.201
_cell_length_b 3.201
_cell_length_c 5.285
_cell_angle_alpha 90.00
_cell_angle_beta 90.00
_cell_angle_gamma 90.00
loop_
_atom_site_label
_atom_site_fract_x
_atom_site_fract_y
_atom_site_fract_z
_atom_site_occupancy
Co1 0.000 0.000 0.230 1
Tc1 0.500 0.500 0.000 1
Sb1 0.500 0.500 0.500 1
```

Calculated values
D(E_F) in states/eV/cell: 4.45
Formation energy from raw total energies in meV/atom: 244
Size of the total moment in μB per formula unit: 0.719
Mass density in kg/m3: 10351
Uncorrected energy in hartree per atom: -0.2786

---

# 6
CoTc2Sb | PBEsol | optimized geometry

CIF file:
```
data_CoTc2Sb
_chemical_formula_sum 'Co4 Tc8 Sb4'
_space_group_name_H-M_alt 'F -4 3 m'
_space_group_IT_number 216
_space_group_name_Hall 'F -4 2 3'
_cell_length_a 6.147
_cell_length_b 6.147
_cell_length_c 6.147
_cell_angle_alpha 90.00
_cell_angle_beta 90.00
_cell_angle_gamma 90.00
loop_
_atom_site_label
_atom_site_fract_x
_atom_site_fract_y
_atom_site_fract_z
_atom_site_occupancy
Co1 0.000 0.000 0.000 1
Tc1 0.000 0.000 0.500 1
Tc2 0.250 0.250 0.250 1
Sb1 0.250 0.250 0.750 1
```

Calculated values
D(E_F) in states/eV/cell: 16.03
Formation energy from raw total energies in meV/atom: 289
Size of the total moment in μB per formula unit: 2.297
Mass density in kg/m3: 10772
Uncorrected energy in hartree per atom: -0.3093